Record 1
Dy4HoHg2 after structural relaxation, computed with PBE-GGA.

Unit cell a=5.0676 b=5.0676 c=10.4606 alpha=75.98 beta=75.98 gamma=60.00
Closest atoms and distances in Å follow each position.
Element x y z (fractional)
Ho: 0.5000 0.5000 0.5000  2 Hg 3.03
Dy: 0.2964 0.2964 0.1107  4 Hg 3.05-3.10
Dy: 0.7036 0.7036 0.8893  4 Hg 3.05-3.10
Dy: 0.8923 0.8923 0.3232  3 Hg 3.18, 3 Ho 3.42
Dy: 0.1077 0.1077 0.6768  3 Hg 3.18, 3 Ho 3.42
Hg: 0.6007 0.6007 0.1979  1 Ho 3.03, 7 Dy 3.05-3.18
Hg: 0.3993 0.3993 0.8021  1 Ho 3.03, 7 Dy 3.05-3.18

- D(E_F) (states/eV/cell) = 8.025
- spin magnetization (Bohr magnetons per cell) = 0.003
- E_tot (eV per atom) = -3.336

***

Record 2
Ca2CuPtO6 after structural relaxation, computed with PBE-GGA.

Unit cell a=5.4177 b=5.6513 c=7.6529 alpha=90.00 beta=89.90 gamma=90.00
Closest atoms and distances in Å follow each position.
Element x y z (fractional)
Ca: 0.5167 0.5659 0.7507  6 O 2.31-2.55
Ca: 0.0167 0.9341 0.2507  6 O 2.31-2.55
Ca: 0.9833 0.0659 0.7493  6 O 2.31-2.55
Ca: 0.4833 0.4341 0.2493  6 O 2.31-2.55
O: 0.8964 0.5336 0.2508  1 Cu 2.00, 1 Pt 2.01
O: 0.1976 0.1964 0.4480  1 Pt 2.02, 1 Cu 2.06
O: 0.6976 0.3036 0.9480  1 Pt 2.02, 1 Cu 2.06
O: 0.3964 0.9664 0.7508  1 Cu 2.00, 1 Pt 2.01
O: 0.1036 0.4664 0.7492  1 Cu 2.00, 1 Pt 2.01
O: 0.3103 0.7028 0.4469  1 Pt 2.01, 1 Cu 2.07
O: 0.1897 0.2028 0.0531  1 Pt 2.01, 1 Cu 2.07
O: 0.6036 0.0336 0.2492  1 Cu 2.00, 1 Pt 2.01
O: 0.8024 0.8036 0.5520  1 Pt 2.02, 1 Cu 2.06
O: 0.6897 0.2972 0.5531  1 Pt 2.01, 1 Cu 2.07
O: 0.3024 0.6964 0.0520  1 Pt 2.02, 1 Cu 2.06
O: 0.8103 0.7972 0.9469  1 Pt 2.01, 1 Cu 2.07
Cu: 0.0000 0.5000 0.5000  6 O 2.00-2.07
Cu: 0.5000 0.0000 0.0000  6 O 2.00-2.07
Pt: 0.5000 0.0000 0.5000  6 O 2.01-2.02
Pt: 0.0000 0.5000 0.0000  6 O 2.01-2.02

- D(E_F) (states/eV/cell) = 17.673
- spin magnetization (Bohr magnetons per cell) = 3.849
- formation energy (no corrections) (eV/atom) = -1.461

***

Record 3
Tc2Ir after structural relaxation, computed with PBE-GGA.

Unit cell a=2.7098 b=4.1422 c=16.9758 alpha=90.00 beta=90.00 gamma=90.00
Closest atoms and distances in Å follow each position.
Element x y z (fractional)
Ir: 0.5000 0.7500 0.1133  2 Ir 2.71, 10 Tc 2.78-2.87
Ir: 0.0000 0.2500 0.6133  2 Ir 2.71, 10 Tc 2.78-2.87
Ir: 0.5000 0.2500 0.8867  2 Ir 2.71, 10 Tc 2.78-2.87
Ir: 0.0000 0.7500 0.3867  2 Ir 2.71, 10 Tc 2.78-2.87
Tc: 0.0000 0.7500 0.8127  5 Tc 2.52-2.71, 4 Ir 2.78
Tc: 0.5000 0.2500 0.4645  3 Tc 2.40-2.58
Tc: 0.5000 0.7500 0.5355  3 Tc 2.40-2.58
Tc: 0.0000 0.7500 0.9645  3 Tc 2.40-2.58
Tc: 0.0000 0.2500 0.0355  3 Tc 2.40-2.58
Tc: 0.5000 0.2500 0.3127  5 Tc 2.52-2.71, 4 Ir 2.78
Tc: 0.5000 0.7500 0.6873  5 Tc 2.52-2.71, 4 Ir 2.78
Tc: 0.0000 0.2500 0.1873  5 Tc 2.52-2.71, 4 Ir 2.78

- D(E_F) (states/eV/cell) = 11.564
- spin magnetization (Bohr magnetons per cell) = 0.000
- polymorph energy (0 for the lowest one) (eV/f.u.) = 1.48